Entry 1:
Ca2RhCl: single point on PBEsol structure, meta-GGA SCAN.

Formation energy (no corrections), eV per atom: -1.17
Crystal system: tetragonal
SG: P4/mmm, No. 123
Energy, eV per atom: -16.440
Calculated density, Mg/m³: 4.3

Cell lengths 3.3621, 3.3621, 7.4437 Å; angles 90.00, 90.00, 90.06 degrees
With the nearest neighbours (Å) after each atom.
Element x y z (fractional)
Ca1 0.0000 0.0000 0.2239  4 Rh 2.90, 4 Cl 3.14
Ca2 0.0000 0.0000 0.7761  4 Rh 2.90, 4 Cl 3.14
Rh1 0.5000 0.5000 0.0000  8 Ca 2.90
Cl1 0.5000 0.5000 0.5000  8 Ca 3.14, 4 Cl 3.36

Entry 2:
RbBe2Tl: single point on PBEsol structure, meta-GGA SCAN.

Crystal system: tetragonal
SG: I4_1/amd, No. 141
Formation energy from the elements, meV per atom: 588
Energy, eV per atom: -24.863
Calculated density, Mg/m³: 4.6

Cell lengths 5.3507, 5.3507, 8.5979 Å; angles 108.13, 108.13, 90.00 degrees
With the nearest neighbours (Å) after each atom.
Element x y z (fractional)
Be1 0.6250 0.8750 0.7500  2 Tl 2.35
Be2 0.1250 0.8750 0.7500  2 Tl 2.35
Be3 0.1250 0.8750 0.2500  2 Tl 2.35
Be4 0.1250 0.3750 0.2500  2 Tl 2.35
Tl1 0.0000 0.0000 0.0000  4 Be 2.35
Tl2 0.2500 0.7500 0.5000  4 Be 2.35
Rb1 0.5000 0.5000 0.0000  8 Be 3.56, 4 Tl 3.78
Rb2 0.7500 0.2500 0.5000  8 Be 3.56, 4 Tl 3.78